# 1
The following is a DFT calculation (PBE) of a relaxed KCoTc2 crystal.

```
data_KCoTc2
_space_group_name_H-M_alt 'P 4/m m m'
_space_group_IT_number 123
_space_group_name_Hall '-P 4 2'
_cell_length_a 5.0402
_cell_length_b 5.0402
_cell_length_c 2.5921
_cell_angle_alpha 90.00
_cell_angle_beta 90.00
_cell_angle_gamma 90.00
loop_
_atom_site_label
_atom_site_type_symbol
_atom_site_fract_x
_atom_site_fract_y
_atom_site_fract_z
K1 K 0.0000 0.0000 0.0000
Co1 Co 0.5000 0.5000 0.0000
Tc1 Tc 0.0000 0.5000 0.5000
```

Results
Energy relative to the elements, kJ per mole of atoms: 162.6
E above lowest polymorph, eV/atom: 0.945
Total energy, eV per atom: -5.55

# 2
The following is a DFT calculation (PBE) of a relaxed KCoTc2 crystal.

```
data_KCoTc2
_space_group_name_H-M_alt 'I m m 2'
_space_group_IT_number 44
_cell_length_a 2.9921
_cell_length_b 5.4421
_cell_length_c 9.3228
_cell_angle_alpha 90.00
_cell_angle_beta 90.00
_cell_angle_gamma 90.00
loop_
_space_group_symop_operation_xyz
'x,y,z'
'-x,-y,z'
'-x,y,z'
'x,-y,z'
'x+1/2,y+1/2,z+1/2'
'-x+1/2,-y+1/2,z+1/2'
'-x+1/2,y+1/2,z+1/2'
'x+1/2,-y+1/2,z+1/2'
loop_
_atom_site_label
_atom_site_type_symbol
_atom_site_fract_x
_atom_site_fract_y
_atom_site_fract_z
K1 K 0.0000 0.0000 0.0000
Co1 Co 0.0000 0.5000 0.2070
Tc1 Tc 0.0000 0.0000 0.4981
Tc2 Tc 0.0000 0.5000 0.8021
```

Results
Energy relative to the elements, kJ per mole of atoms: 121.9
E above lowest polymorph, eV/atom: 0.523
Total energy, eV per atom: -5.97

# 3
The following is a DFT calculation (PBE) of a relaxed KCoTc crystal.

```
data_KCoTc
_space_group_name_H-M_alt 'F -4 3 m'
_space_group_IT_number 216
_space_group_name_Hall 'F -4 2 3'
_cell_length_a 6.6086
_cell_length_b 6.6086
_cell_length_c 6.6086
_cell_angle_alpha 90.00
_cell_angle_beta 90.00
_cell_angle_gamma 90.00
loop_
_atom_site_label
_atom_site_type_symbol
_atom_site_fract_x
_atom_site_fract_y
_atom_site_fract_z
K1 K 0.0000 0.0000 0.0000
Co1 Co 0.2500 0.2500 0.2500
Tc1 Tc 0.2500 0.2500 0.7500
```

Results
Energy relative to the elements, kJ per mole of atoms: 255.4
E above lowest polymorph, eV/atom: 1.819
Total energy, eV per atom: -3.54

# 4
The following is a DFT calculation (PBE) of a relaxed KCoTc2 crystal.

```
data_KCoTc2
_space_group_name_H-M_alt 'C 1 m 1'
_space_group_IT_number 8
_cell_length_a 8.7246
_cell_length_b 2.6631
_cell_length_c 7.1134
_cell_angle_alpha 90.00
_cell_angle_beta 93.45
_cell_angle_gamma 90.00
loop_
_space_group_symop_operation_xyz
'x,y,z'
'x,-y,z'
'x+1/2,y+1/2,z'
'x+1/2,-y+1/2,z'
loop_
_atom_site_label
_atom_site_type_symbol
_atom_site_fract_x
_atom_site_fract_y
_atom_site_fract_z
K1 K 0.0000 0.0000 0.0000
Co1 Co 0.2646 0.5000 0.3471
Tc1 Tc 0.2318 0.0000 0.6323
Tc2 Tc 0.4850 0.0000 0.4874
```

Results
Energy relative to the elements, kJ per mole of atoms: 81.5
E above lowest polymorph, eV/atom: 0.104
Total energy, eV per atom: -6.39

# 5
The following is a DFT calculation (PBE) of a relaxed KCoTc2 crystal.

```
data_KCoTc2
_space_group_name_H-M_alt 'C 1 2/m 1'
_space_group_IT_number 12
_cell_length_a 11.7063
_cell_length_b 2.5778
_cell_length_c 4.9957
_cell_angle_alpha 90.00
_cell_angle_beta 115.19
_cell_angle_gamma 90.00
loop_
_space_group_symop_operation_xyz
'x,y,z'
'-x,-y,-z'
'-x,y,-z'
'x,-y,z'
'x+1/2,y+1/2,z'
'-x+1/2,-y+1/2,-z'
'-x+1/2,y+1/2,-z'
'x+1/2,-y+1/2,z'
loop_
_atom_site_label
_atom_site_type_symbol
_atom_site_fract_x
_atom_site_fract_y
_atom_site_fract_z
K1 K 0.0000 0.0000 0.0000
Co1 Co 0.0000 0.5000 0.5000
Tc1 Tc 0.2057 0.0000 0.7056
```

Results
Energy relative to the elements, kJ per mole of atoms: 91.7
E above lowest polymorph, eV/atom: 0.209
Total energy, eV per atom: -6.28

# 6
The following is a DFT calculation (PBE) of a relaxed KCoTc2 crystal.

```
data_KCoTc2
_space_group_name_H-M_alt 'P 4 m m'
_space_group_IT_number 99
_cell_length_a 2.7311
_cell_length_b 2.7311
_cell_length_c 9.2971
_cell_angle_alpha 90.00
_cell_angle_beta 90.00
_cell_angle_gamma 90.00
loop_
_space_group_symop_operation_xyz
'x,y,z'
'-y,x,z'
'-x,-y,z'
'y,-x,z'
'-x,y,z'
'y,x,z'
'x,-y,z'
'-y,-x,z'
loop_
_atom_site_label
_atom_site_type_symbol
_atom_site_fract_x
_atom_site_fract_y
_atom_site_fract_z
K1 K 0.0000 0.0000 0.0000
Co1 Co 0.5000 0.5000 0.7089
Tc1 Tc 0.0000 0.0000 0.5443
Tc2 Tc 0.5000 0.5000 0.3268
```

Results
Energy relative to the elements, kJ per mole of atoms: 74.4
E above lowest polymorph, eV/atom: 0.030
Total energy, eV per atom: -6.46

# 7
The following is a DFT calculation (PBE) of a relaxed KCoTc2 crystal.

```
data_KCoTc2
_space_group_name_H-M_alt 'P m m 2'
_space_group_IT_number 25
_cell_length_a 2.7391
_cell_length_b 3.6618
_cell_length_c 7.9044
_cell_angle_alpha 90.00
_cell_angle_beta 90.00
_cell_angle_gamma 90.00
loop_
_space_group_symop_operation_xyz
'x,y,z'
'-x,-y,z'
'-x,y,z'
'x,-y,z'
loop_
_atom_site_label
_atom_site_type_symbol
_atom_site_fract_x
_atom_site_fract_y
_atom_site_fract_z
K1 K 0.0000 0.0000 0.0000
Co1 Co 0.5000 0.5000 0.6718
Tc1 Tc 0.0000 0.0000 0.5254
Tc2 Tc 0.5000 0.5000 0.3618
```

Results
Energy relative to the elements, kJ per mole of atoms: 73.2
E above lowest polymorph, eV/atom: 0.018
Total energy, eV per atom: -6.48

# 8
The following is a DFT calculation (PBE) of a relaxed KCoTc2 crystal.

```
data_KCoTc2
_space_group_name_H-M_alt 'C 1 2/m 1'
_space_group_IT_number 12
_cell_length_a 5.3760
_cell_length_b 10.1311
_cell_length_c 2.5549
_cell_angle_alpha 90.00
_cell_angle_beta 106.48
_cell_angle_gamma 90.00
loop_
_space_group_symop_operation_xyz
'x,y,z'
'-x,-y,-z'
'-x,y,-z'
'x,-y,z'
'x+1/2,y+1/2,z'
'-x+1/2,-y+1/2,-z'
'-x+1/2,y+1/2,-z'
'x+1/2,-y+1/2,z'
loop_
_atom_site_label
_atom_site_type_symbol
_atom_site_fract_x
_atom_site_fract_y
_atom_site_fract_z
K1 K 0.0000 0.0000 0.0000
Co1 Co 0.0000 0.5000 0.0000
Tc1 Tc 0.2500 0.2500 0.5000
```

Results
Energy relative to the elements, kJ per mole of atoms: 125.7
E above lowest polymorph, eV/atom: 0.562
Total energy, eV per atom: -5.93

# 9
The following is a DFT calculation (PBE) of a relaxed KCoTc2 crystal.

```
data_KCoTc2
_space_group_name_H-M_alt 'P m m m'
_space_group_IT_number 47
_cell_length_a 2.6644
_cell_length_b 4.8443
_cell_length_c 5.2044
_cell_angle_alpha 90.00
_cell_angle_beta 90.00
_cell_angle_gamma 90.00
loop_
_space_group_symop_operation_xyz
'x,y,z'
'-x,-y,-z'
'-x,-y,z'
'x,y,-z'
'x,-y,-z'
'-x,y,z'
'-x,y,-z'
'x,-y,z'
loop_
_atom_site_label
_atom_site_type_symbol
_atom_site_fract_x
_atom_site_fract_y
_atom_site_fract_z
K1 K 0.0000 0.0000 0.0000
Co1 Co 0.5000 0.5000 0.0000
Tc1 Tc 0.0000 0.5000 0.5000
Tc2 Tc 0.5000 0.0000 0.5000
```

Results
Energy relative to the elements, kJ per mole of atoms: 133.0
E above lowest polymorph, eV/atom: 0.638
Total energy, eV per atom: -5.86

# 10
The following is a DFT calculation (PBE) of a relaxed KCoTc2 crystal.

```
data_KCoTc2
_space_group_name_H-M_alt 'R -3 m'
_space_group_IT_number 166
_space_group_name_Hall '-R 3 2"'
_cell_length_a 2.7423
_cell_length_b 2.7423
_cell_length_c 30.4350
_cell_angle_alpha 90.00
_cell_angle_beta 90.00
_cell_angle_gamma 120.00
loop_
_atom_site_label
_atom_site_type_symbol
_atom_site_fract_x
_atom_site_fract_y
_atom_site_fract_z
K1 K 0.0000 0.0000 0.0000
Co1 Co 0.0000 0.0000 0.5000
Tc1 Tc 0.0000 0.0000 0.2327
```

Results
Energy relative to the elements, kJ per mole of atoms: 81.9
E above lowest polymorph, eV/atom: 0.108
Total energy, eV per atom: -6.38

# 11
The following is a DFT calculation (PBE) of a relaxed KCo4Tc crystal.

```
data_KCo4Tc
_space_group_name_H-M_alt 'F -4 3 m'
_space_group_IT_number 216
_space_group_name_Hall 'F -4 2 3'
_cell_length_a 7.0434
_cell_length_b 7.0434
_cell_length_c 7.0434
_cell_angle_alpha 90.00
_cell_angle_beta 90.00
_cell_angle_gamma 90.00
loop_
_atom_site_label
_atom_site_type_symbol
_atom_site_fract_x
_atom_site_fract_y
_atom_site_fract_z
K1 K 0.0000 0.0000 0.0000
Co1 Co 0.1233 0.1233 0.3767
Tc1 Tc 0.2500 0.2500 0.7500
```

Results
Energy relative to the elements, kJ per mole of atoms: 84.9
Total energy, eV per atom: -5.77

# 12
The following is a DFT calculation (PBE) of a relaxed KCoTc crystal.

```
data_KCoTc
_space_group_name_H-M_alt 'I m m 2'
_space_group_IT_number 44
_cell_length_a 2.6567
_cell_length_b 3.6829
_cell_length_c 12.5185
_cell_angle_alpha 90.00
_cell_angle_beta 90.00
_cell_angle_gamma 90.00
loop_
_space_group_symop_operation_xyz
'x,y,z'
'-x,-y,z'
'-x,y,z'
'x,-y,z'
'x+1/2,y+1/2,z+1/2'
'-x+1/2,-y+1/2,z+1/2'
'-x+1/2,y+1/2,z+1/2'
'x+1/2,-y+1/2,z+1/2'
loop_
_atom_site_label
_atom_site_type_symbol
_atom_site_fract_x
_atom_site_fract_y
_atom_site_fract_z
K1 K 0.0000 0.0000 0.0000
Co1 Co 0.0000 0.0000 0.7088
Tc1 Tc 0.0000 0.0000 0.2771
```

Results
Energy relative to the elements, kJ per mole of atoms: 79.9
E above lowest polymorph, eV/atom: 0.000
Total energy, eV per atom: -5.36

Look up the energy relative to the elements of the tenth one.
81.9 kJ per mole of atoms